Record 1
The following is a DFT calculation (PBE) of a relaxed structure of KHgBi.

Cell: 9.808 9.213 7.555 Å, 70.81 62.51 46.68°
Element x y z (fractional)
Bi1 0.640 0.526 0.811
Bi2 0.439 0.228 0.610
Bi3 0.022 0.811 0.526
Bi4 0.724 0.610 0.228
Hg1 0.786 0.255 0.498
Hg2 0.461 0.498 0.255
Hg3 0.995 0.464 0.789
Hg4 0.752 0.789 0.464
K1 0.244 0.010 0.069
K2 0.181 0.572 0.006
K3 0.240 0.006 0.572
K4 0.678 0.069 0.010

Uncorrected energy ... -1.977 eV/atom
E_form ... -0.65 eV/f.u.
Space-group type ... Fdd2 (43)

=====

Record 2
The following is a DFT calculation (PBE) of a relaxed structure of AlCrMo4.

Cell: 5.182 5.182 5.182 Å, 60.00 60.00 60.00°
Site moments in Bohr magnetons follow the coordinates.
Element x y z (fractional)
Cr1 0.000 0.000 0.000  2.00
Mo1 0.375 0.375 0.375  -0.18
Mo2 0.375 0.375 0.874  -0.18
Mo3 0.874 0.375 0.375  -0.18
Mo4 0.375 0.874 0.375  -0.18
Al1 0.750 0.750 0.750  -0.02

Uncorrected energy ... -9.089 eV/atom
E_form ... 2.16 eV/f.u.
Space-group type ... F-43m (216)

=====

Record 3
The following is a DFT calculation (PBE) of a relaxed structure of Zr2CdSe.

Cell: 5.019 5.019 5.019 Å, 60.00 60.00 60.00°
Site moments in Bohr magnetons follow the coordinates.
Element x y z (fractional)
Cd1 0.500 0.500 0.500  0.02
Se1 0.750 0.750 0.750  -0.03
Zr1 0.250 0.250 0.250  0.98
Zr2 0.000 0.000 0.000  0.87

Uncorrected energy ... -5.164 eV/atom
ΔE_f (raw) ... 0.210 eV/atom
Space-group type ... F-43m (216)

=====

Record 4
The following is a DFT calculation (PBE) of a relaxed structure of MoPN2.

Cell: 6.445 6.445 6.445 Å, 24.28 24.28 24.28°
Element x y z (fractional)
P1 0.500 0.500 0.500
Mo1 0.000 0.000 0.000
N1 0.115 0.115 0.115
N2 0.885 0.885 0.885

Uncorrected energy ... -8.168 eV/atom
ΔE_f (raw) ... 0.055 eV/atom
Space-group type ... R-3m (166)

=====

Record 5
The following is a DFT calculation (PBE) of a relaxed structure of TeAs2S.

Cell: 4.095 4.095 6.624 Å, 71.99 71.99 60.00°
Element x y z (fractional)
As1 0.260 0.260 0.221
As2 0.740 0.740 0.779
S1 0.000 0.000 0.000
Te1 0.500 0.500 0.500

Uncorrected energy ... -3.953 eV/atom
ΔE_f (raw) ... 0.189 eV/atom
Space-group type ... R-3m (166)

=====

Record 6
The following is a DFT calculation (PBE) of a relaxed structure of Be2SbMo2.

Cell: 6.277 6.277 3.366 Å, 90.00 90.00 90.00°
Element x y z (fractional)
Be1 0.114 0.386 0.000
Be2 0.614 0.114 0.000
Be3 0.386 0.886 0.000
Be4 0.886 0.614 0.000
Mo1 0.325 0.175 0.500
Mo2 0.175 0.675 0.500
Mo3 0.825 0.325 0.500
Mo4 0.675 0.825 0.500
Sb1 0.500 0.500 0.000
Sb2 0.000 0.000 0.000

Uncorrected energy ... -6.631 eV/atom
ΔE_f (raw) ... 0.017 eV/atom
Space-group type ... P4/mbm (127)

=====

Record 7
The following is a DFT calculation (PBE) of a relaxed structure of Zr2AsOs.

Cell: 3.352 3.227 7.308 Å, 72.01 90.00 90.00°
Element x y z (fractional)
As1 0.500 0.250 0.250
Os1 0.500 0.750 0.750
Zr1 0.000 0.061 0.990
Zr2 0.000 0.439 0.510

Uncorrected energy ... -8.782 eV/atom
E_form ... -2.15 eV/f.u.
Space-group type ... P2/m (10)

=====

Record 8
The following is a DFT calculation (PBE) of a relaxed structure of NbVS3.

Cell: 4.551 4.551 4.551 Å, 90.00 90.00 90.00°
Site moments in Bohr magnetons follow the coordinates.
Element x y z (fractional)
S1 0.000 0.500 0.000  -0.15
S2 0.500 0.000 0.000  -0.15
S3 0.000 0.000 0.500  -0.15
V1 0.000 0.000 0.000  1.37
Nb1 0.500 0.500 0.500  2.36

Uncorrected energy ... -6.232 eV/atom
ΔE_f (raw) ... 0.082 eV/atom
Space-group type ... Pm-3m (221)

=====

Record 9
The following is a DFT calculation (PBE) of a relaxed structure of ZrTiRh6.

Cell: 7.356 9.227 4.783 Å, 100.65 102.07 124.75°
Element x y z (fractional)
Rh1 0.256 0.123 0.125
Rh2 0.755 0.374 0.376
Rh3 0.255 0.874 0.376
Rh4 0.745 0.126 0.624
Rh5 0.244 0.377 0.875
Rh6 0.509 0.250 0.760
Rh7 0.491 0.750 0.240
Rh8 0.991 0.250 0.240
Rh9 0.245 0.626 0.624
Rh10 0.744 0.877 0.875
Rh11 0.756 0.623 0.125
Rh12 0.009 0.750 0.760
Zr1 0.500 0.500 0.500
Zr2 0.000 0.000 0.500
Ti1 0.500 0.000 0.000
Ti2 0.000 0.500 0.000

Uncorrected energy ... -8.103 eV/atom
E_form ... -4.27 eV/f.u.
Space-group type ... C2/m (12)

=====

Record 10
The following is a DFT calculation (PBE) of a relaxed structure of PrZr2W.

Cell: 3.266 3.266 10.821 Å, 81.32 81.32 60.00°
Element x y z (fractional)
Pr1 0.000 0.000 0.000
Zr1 0.898 0.898 0.305
Zr2 0.102 0.102 0.695
W1 0.500 0.500 0.500

Uncorrected energy ... -8.268 eV/atom
E_form ... 1.76 eV/f.u.
Space-group type ... R-3m (166)

=====

Record 11
The following is a DFT calculation (PBE) of a relaxed structure of Pr4YEr8.

Cell: 11.045 11.045 7.808 Å, 90.00 135.01 120.00°
Site moments in Bohr magnetons follow the coordinates.
Element x y z (fractional)
Pr1 0.500 0.000 0.000  0.21
Pr2 0.500 0.500 0.000  0.21
Pr3 0.000 0.500 0.000  0.21
Pr4 0.000 0.000 0.000  -0.05
Y1 0.000 0.500 0.500  0.08
Er1 0.000 0.760 0.240  0.11
Er2 0.000 0.240 0.240  0.11
Er3 0.480 0.240 0.720  0.12
Er4 0.520 0.760 0.760  0.11
Er5 0.000 0.240 0.760  0.11
Er6 0.480 0.240 0.240  0.11
Er7 0.520 0.760 0.280  0.12
Er8 0.000 0.760 0.760  0.11

Uncorrected energy ... -4.251 eV/atom
E_form ... 6.82 eV/f.u.
Space-group type ... Pm-3m (221)

=====

Record 12
The following is a DFT calculation (PBE) of a relaxed structure of ScSiPtO2.

Cell: 3.904 5.583 3.904 Å, 90.00 90.00 90.00°
Element x y z (fractional)
Pt1 0.000 0.000 0.000
O1 0.500 0.000 0.000
O2 0.000 0.000 0.500
Sc1 0.000 0.500 0.000
Si1 0.500 0.500 0.500

Uncorrected energy ... -5.550 eV/atom
ΔE_f (raw) ... -0.008 eV/atom
Space-group type ... P4/mmm (123)

=====

Record 13
The following is a DFT calculation (PBE) of a relaxed structure of Tl5RhO4.

Cell: 3.345 7.723 8.323 Å, 101.32 101.59 90.00°
Element x y z (fractional)
O1 0.629 0.052 0.259
O2 0.371 0.948 0.741
O3 0.999 0.833 0.998
O4 0.001 0.167 0.002
Rh1 0.500 0.000 0.000
Tl1 0.848 0.169 0.695
Tl2 0.152 0.831 0.305
Tl3 0.843 0.702 0.686
Tl4 0.157 0.298 0.314
Tl5 0.500 0.500 0.000

Uncorrected energy ... -4.478 eV/atom
ΔE_f (raw) ... -0.577 eV/atom
Space-group type ... C2/m (12)

=====

Record 14
The following is a DFT calculation (PBE) of a relaxed structure of Li4AcZn3F12.

Cell: 6.941 6.941 6.941 Å, 106.50 106.50 106.50°
Element x y z (fractional)
F1 0.091 0.909 0.500
F2 0.500 0.091 0.909
F3 0.033 0.672 0.775
F4 0.666 0.500 0.334
F5 0.909 0.500 0.091
F6 0.967 0.225 0.328
F7 0.500 0.334 0.666
F8 0.328 0.967 0.225
F9 0.225 0.328 0.967
F10 0.334 0.666 0.500
F11 0.672 0.775 0.033
F12 0.775 0.033 0.672
Zn1 0.571 0.429 0.000
Zn2 0.000 0.571 0.429
Zn3 0.429 0.000 0.571
Li1 0.070 0.500 0.930
Li2 0.500 0.930 0.070
Li3 0.500 0.500 0.500
Li4 0.930 0.070 0.500
Ac1 0.000 0.000 0.000

Uncorrected energy ... -4.609 eV/atom
ΔE_f (raw) ... -2.707 eV/atom
Space-group type ... R32 (155)

=====

Record 15
The following is a DFT calculation (PBE) of a relaxed structure of KTaSb2.

Cell: 5.212 5.212 5.212 Å, 60.00 60.00 60.00°
Element x y z (fractional)
Sb1 0.250 0.250 0.250
Sb2 0.000 0.000 0.000
K1 0.500 0.500 0.500
Ta1 0.750 0.750 0.750

Uncorrected energy ... -4.391 eV/atom
ΔE_f (raw) ... 0.907 eV/atom
Space-group type ... F-43m (216)

=====

Record 16
The following is a DFT calculation (PBE) of a relaxed structure of Ca2TaMn.

Cell: 5.866 5.866 3.083 Å, 90.00 90.00 115.90°
Site moments in Bohr magnetons follow the coordinates.
Element x y z (fractional)
Ca1 0.500 0.500 0.000  -0.04
Ca2 0.000 0.000 0.000  -0.04
Ta1 0.000 0.500 0.500  -0.43
Mn1 0.500 0.000 0.500  3.77

Uncorrected energy ... -5.433 eV/atom
E_form ... 3.29 eV/f.u.
Space-group type ... Cmmm (65)

=====

Record 17
The following is a DFT calculation (PBE) of a relaxed structure of CaHo4ErSe8.

Cell: 8.418 8.418 8.415 Å, 59.99 59.99 60.00°
Element x y z (fractional)
Ho1 0.494 0.002 0.502
Ho2 0.002 0.002 0.502
Ho3 0.625 0.625 0.125
Ho4 0.002 0.494 0.502
Se1 0.758 0.758 0.727
Se2 0.759 0.759 0.257
Se3 0.226 0.759 0.257
Se4 0.240 0.240 0.281
Se5 0.781 0.239 0.741
Se6 0.239 0.239 0.741
Se7 0.759 0.226 0.257
Se8 0.239 0.781 0.741
Ca1 0.375 0.375 0.875
Er1 0.002 0.002 0.993

Uncorrected energy ... -5.559 eV/atom
ΔE_f (raw) ... -1.791 eV/atom
Space-group type ... R3m (160)

=====

Record 18
The following is a DFT calculation (PBE) of a relaxed structure of SiHgSb2.

Cell: 3.164 3.164 10.577 Å, 90.00 90.00 108.57°
Element x y z (fractional)
Sb1 0.000 0.000 0.462
Sb2 0.000 0.000 0.038
Si1 0.500 0.500 0.250
Hg1 0.500 0.500 0.750

Uncorrected energy ... -3.150 eV/atom
ΔE_f (raw) ... 0.342 eV/atom
Space-group type ... Cmmm (65)

=====

Record 19
The following is a DFT calculation (PBE) of a relaxed structure of Y3Si2Pd2.

Cell: 5.714 7.816 13.004 Å, 90.00 90.00 90.00°
Element x y z (fractional)
Y1 0.124 0.903 0.606
Y2 0.364 0.235 0.250
Y3 0.876 0.403 0.894
Y4 0.124 0.597 0.106
Y5 0.636 0.765 0.750
Y6 0.876 0.097 0.394
Y7 0.636 0.735 0.250
Y8 0.364 0.265 0.750
Y9 0.876 0.403 0.606
Y10 0.124 0.597 0.394
Y11 0.876 0.097 0.106
Y12 0.124 0.903 0.894
Si1 0.851 0.384 0.250
Si2 0.851 0.116 0.750
Si3 0.149 0.616 0.750
Si4 0.149 0.884 0.250
Si5 0.316 0.250 0.500
Si6 0.684 0.750 0.000
Si7 0.316 0.250 0.000
Si8 0.684 0.750 0.500
Pd1 0.617 0.051 0.590
Pd2 0.617 0.449 0.410
Pd3 0.617 0.051 0.910
Pd4 0.383 0.551 0.590
Pd5 0.383 0.949 0.410
Pd6 0.617 0.449 0.090
Pd7 0.383 0.949 0.090
Pd8 0.383 0.551 0.910

Uncorrected energy ... -6.705 eV/atom
ΔE_f (raw) ... -0.902 eV/atom
Space-group type ... Pbcm (57)